Compound: BeNiCl2
Source: Alexandria
Functional: GGA-PBEsol
Structure: relaxed Values from VASP.

```
&SYSTEM
  ibrav = 0, nat = 4, ntyp = 3
/
ATOMIC_SPECIES
Be 9.01 Be.upf
Ni 58.69 Ni.upf
Cl 35.45 Cl.upf
CELL_PARAMETERS angstrom
3.075 -3.175 0.000
3.075 3.175 0.000
-3.059 0.000 3.159
ATOMIC_POSITIONS crystal
Be 0.000 0.000 0.000
Ni 0.500 0.500 0.000
Cl 0.000 0.500 0.500
Cl 0.500 0.000 0.500
```

Calculated values
**Relative energy among the computed polymorphs**: 325 meV/atom
**Formation energy (no corrections)**: 39.8 meV/atom

***

Compound: P2RuBrO
Source: Alexandria
Functional: GGA-PBEsol
Structure: relaxed Values from VASP.

```
&SYSTEM
  ibrav = 0, nat = 5, ntyp = 4
/
ATOMIC_SPECIES
P 30.97 P.upf
Ru 101.07 Ru.upf
Br 79.90 Br.upf
O 16.00 O.upf
CELL_PARAMETERS angstrom
4.712 0.000 0.000
0.000 4.712 0.000
0.000 0.000 3.695
ATOMIC_POSITIONS crystal
P 0.000 0.500 0.000
P 0.500 0.000 0.000
Ru 0.000 0.000 0.000
Br 0.500 0.500 0.500
O 0.000 0.000 0.500
```

Calculated values
**Formation energy (no corrections)**: 130.0 meV/atom

***

Compound: ReMoS2Cl
Source: Alexandria
Functional: GGA-PBEsol
Structure: relaxed Values from VASP.

```
&SYSTEM
  ibrav = 0, nat = 5, ntyp = 4
/
ATOMIC_SPECIES
Re 186.21 Re.upf
Mo 95.94 Mo.upf
S 32.06 S.upf
Cl 35.45 Cl.upf
CELL_PARAMETERS angstrom
4.621 0.000 0.000
0.000 4.621 0.000
0.000 0.000 4.758
ATOMIC_POSITIONS crystal
Re 0.000 0.000 0.000
Mo 0.500 0.500 0.500
S 0.000 0.500 0.500
S 0.500 0.000 0.500
Cl 0.500 0.500 0.000
```

Calculated values
**Formation energy (no corrections)**: 1062.6 meV/atom

***

Compound: AlNiHg2
Source: Alexandria
Functional: GGA-PBEsol
Structure: relaxed Values from VASP.

```
&SYSTEM
  ibrav = 0, nat = 4, ntyp = 3
/
ATOMIC_SPECIES
Al 26.98 Al.upf
Ni 58.69 Ni.upf
Hg 200.59 Hg.upf
CELL_PARAMETERS angstrom
1.541 0.890 8.476
-1.541 0.890 8.476
0.000 -1.779 8.476
ATOMIC_POSITIONS crystal
Al 0.000 0.000 0.000
Ni 0.500 0.500 0.500
Hg 0.244 0.244 0.244
Hg 0.756 0.756 0.756
```

Calculated values
**ΔE_f**: 0.189 eV/atom

***

Compound: Sb2PBr
Source: Alexandria
Functional: GGA-PBEsol
Structure: relaxed Values from VASP.

```
&SYSTEM
  ibrav = 0, nat = 4, ntyp = 3
/
ATOMIC_SPECIES
Sb 121.76 Sb.upf
P 30.97 P.upf
Br 79.90 Br.upf
CELL_PARAMETERS angstrom
3.161 0.000 0.000
0.000 3.807 0.000
-0.013 0.000 8.490
ATOMIC_POSITIONS crystal
Sb 0.001 0.000 0.224
Sb 0.999 0.000 0.776
P 0.000 0.500 0.000
Br 0.000 0.500 0.500
```

Calculated values
**Relative energy among the computed polymorphs**: 59 meV/atom
**Formation energy (no corrections)**: 94.7 meV/atom

***

Compound: CuAgMo2
Source: Alexandria
Functional: GGA-PBEsol
Structure: relaxed Values from VASP.

```
&SYSTEM
  ibrav = 0, nat = 4, ntyp = 3
/
ATOMIC_SPECIES
Cu 63.55 Cu.upf
Ag 107.87 Ag.upf
Mo 95.94 Mo.upf
CELL_PARAMETERS angstrom
1.585 -2.137 0.000
1.585 2.137 0.000
0.000 0.000 8.721
ATOMIC_POSITIONS crystal
Cu 0.000 0.000 0.000
Ag 0.500 0.500 0.242
Mo 0.000 0.000 0.515
Mo 0.500 0.500 0.764
```

Calculated values
**ΔE_f**: 0.234 eV/atom
**Relative energy among the computed polymorphs**: 0 meV/atom

***

Compound: SrC2Br2
Source: Alexandria
Functional: GGA-PBEsol
Structure: relaxed Values from VASP.

```
&SYSTEM
  ibrav = 0, nat = 5, ntyp = 3
/
ATOMIC_SPECIES
Sr 87.62 Sr.upf
C 12.01 C.upf
Br 79.90 Br.upf
CELL_PARAMETERS angstrom
-2.724 2.724 3.428
2.724 -2.724 3.428
2.724 2.724 -3.428
ATOMIC_POSITIONS crystal
Sr 0.000 0.000 0.000
C 0.405 0.405 0.000
C 0.595 0.595 0.000
Br 0.250 0.750 0.500
Br 0.750 0.250 0.500
```

Calculated values
**Formation energy (no corrections)**: 336.3 meV/atom

***

Compound: SiSb2Mo
Source: Alexandria
Functional: GGA-PBEsol
Structure: relaxed Values from VASP.

```
&SYSTEM
  ibrav = 0, nat = 4, ntyp = 3
/
ATOMIC_SPECIES
Si 28.09 Si.upf
Sb 121.76 Sb.upf
Mo 95.94 Mo.upf
CELL_PARAMETERS angstrom
-1.792 1.794 6.674
1.792 -1.794 6.674
1.792 1.794 -6.674
ATOMIC_POSITIONS crystal
Si 0.000 0.000 0.000
Sb 0.436 0.436 0.000
Sb 0.720 0.220 0.500
Mo 0.126 0.626 0.500
```

Calculated values
**Formation energy (no corrections)**: 271.6 meV/atom

***

Compound: ScTlCu2
Source: Alexandria
Functional: GGA-PBEsol
Structure: relaxed Values from VASP.

```
&SYSTEM
  ibrav = 0, nat = 4, ntyp = 3
/
ATOMIC_SPECIES
Sc 44.96 Sc.upf
Tl 204.38 Tl.upf
Cu 63.55 Cu.upf
CELL_PARAMETERS angstrom
3.345 0.000 0.000
0.000 3.345 0.000
0.000 0.000 6.108
ATOMIC_POSITIONS crystal
Sc 0.000 0.000 0.000
Tl 0.000 0.000 0.500
Cu 0.500 0.500 0.221
Cu 0.500 0.500 0.779
```

Calculated values
**ΔE_f**: -0.066 eV/atom

***

Compound: SiSb2
Source: Alexandria
Functional: GGA-PBEsol
Structure: relaxed Values from VASP.

```
&SYSTEM
  ibrav = 0, nat = 9, ntyp = 2
/
ATOMIC_SPECIES
Si 28.09 Si.upf
Sb 121.76 Sb.upf
CELL_PARAMETERS angstrom
8.017 0.000 0.000
-4.008 6.943 0.000
0.000 0.000 3.681
ATOMIC_POSITIONS crystal
Si 0.000 0.000 0.000
Si 0.333 0.667 0.500
Si 0.667 0.333 0.500
Sb 0.000 0.418 0.000
Sb 0.000 0.732 0.500
Sb 0.268 0.268 0.500
Sb 0.418 0.000 0.000
Sb 0.582 0.582 0.000
Sb 0.732 0.000 0.500
```

Calculated values
**Relative energy among the computed polymorphs**: 193 meV/atom
**Formation energy (no corrections)**: 353.5 meV/atom

***

Compound: SrLa2As2
Source: Alexandria
Functional: GGA-PBEsol
Structure: relaxed Values from VASP.

```
&SYSTEM
  ibrav = 0, nat = 10, ntyp = 3
/
ATOMIC_SPECIES
Sr 87.62 Sr.upf
La 138.91 La.upf
As 74.92 As.upf
CELL_PARAMETERS angstrom
8.227 0.000 0.000
0.000 8.227 0.000
0.000 0.000 4.111
ATOMIC_POSITIONS crystal
Sr 0.000 0.000 0.000
Sr 0.500 0.500 0.000
La 0.149 0.351 0.500
La 0.351 0.851 0.500
La 0.649 0.149 0.500
La 0.851 0.649 0.500
As 0.152 0.652 0.000
As 0.348 0.152 0.000
As 0.652 0.848 0.000
As 0.848 0.348 0.000
```

Calculated values
**ΔE_f**: -1.179 eV/atom
**Relative energy among the computed polymorphs**: 0 meV/atom

***

Compound: TaB3Rh
Source: Alexandria
Functional: GGA-PBEsol
Structure: relaxed Values from VASP.

```
&SYSTEM
  ibrav = 0, nat = 5, ntyp = 3
/
ATOMIC_SPECIES
Ta 180.95 Ta.upf
B 10.81 B.upf
Rh 102.91 Rh.upf
CELL_PARAMETERS angstrom
4.099 0.000 0.000
0.000 4.099 0.000
0.000 0.000 4.099
ATOMIC_POSITIONS crystal
Ta 0.000 0.000 0.000
B 0.000 0.000 0.500
B 0.000 0.500 0.000
B 0.500 0.000 0.000
Rh 0.500 0.500 0.500
```

Calculated values
**ΔE_f**: 1.745 eV/atom

***

Compound: YCo2Si
Source: Alexandria
Functional: GGA-PBEsol
Structure: relaxed Values from VASP.

```
&SYSTEM
  ibrav = 0, nat = 4, ntyp = 3
/
ATOMIC_SPECIES
Y 88.91 Y.upf
Co 58.93 Co.upf
Si 28.09 Si.upf
CELL_PARAMETERS angstrom
1.963 1.133 4.648
-1.963 1.133 4.648
0.000 -2.267 4.648
ATOMIC_POSITIONS crystal
Y 0.000 0.000 0.000
Co 0.194 0.194 0.194
Co 0.806 0.806 0.806
Si 0.500 0.500 0.500
```

Calculated values
**Formation energy (no corrections)**: -543.4 meV/atom

***

Compound: MgSi2Os
Source: Alexandria
Functional: GGA-PBEsol
Structure: relaxed Values from VASP.

```
&SYSTEM
  ibrav = 0, nat = 4, ntyp = 3
/
ATOMIC_SPECIES
Mg 24.30 Mg.upf
Si 28.09 Si.upf
Os 190.23 Os.upf
CELL_PARAMETERS angstrom
2.629 -3.586 0.000
2.629 3.586 0.000
0.000 0.000 2.962
ATOMIC_POSITIONS crystal
Mg 0.000 0.000 0.000
Si 0.000 0.500 0.500
Si 0.500 0.000 0.500
Os 0.500 0.500 0.000
```

Calculated values
**Formation energy (no corrections)**: 94.7 meV/atom